[1]
First-principles (PBE) data for a relaxed structure of Pa2GaNi2, as listed in Alexandria via LeMat-Bulk.

The structure in POSCAR format:
```
Pa2GaNi2
1.0
7.260 0.000 0.000
0.000 7.260 0.000
0.000 0.000 3.537
Pa Ga Ni
4 2 4
Direct
0.179 0.321 0.000 Pa
0.321 0.821 0.000 Pa
0.679 0.179 0.000 Pa
0.821 0.679 0.000 Pa
0.000 0.000 0.500 Ga
0.500 0.500 0.500 Ga
0.126 0.626 0.500 Ni
0.374 0.126 0.500 Ni
0.626 0.874 0.500 Ni
0.874 0.374 0.500 Ni
```

Values from the calculation:
calculated total energy	-7.20	eV/atom
formation enthalpy at 0 K	-0.483	eV/atom
Fermi-level density of states	6.1	states/eV/cell

[2]
First-principles (PBE) data for a relaxed structure of PaGaNi2, as listed in Alexandria via LeMat-Bulk.

The structure in POSCAR format:
```
PaGaNi2
1.0
4.475 0.000 0.000
0.000 4.475 0.000
0.000 0.000 3.237
Pa Ga Ni
1 1 2
Direct
0.000 0.000 0.000 Pa
0.500 0.500 0.000 Ga
0.000 0.500 0.500 Ni
0.500 0.000 0.500 Ni
```

Values from the calculation:
calculated total energy	-6.24	eV/atom
formation enthalpy at 0 K	-0.217	eV/atom
Fermi-level density of states	3.7	states/eV/cell

[3]
First-principles (PBE) data for a relaxed structure of Pa2Ga5Ni5, as listed in Alexandria via LeMat-Bulk.

The structure in POSCAR format:
```
Pa2Ga5Ni5
1.0
4.131 0.000 0.000
0.000 5.104 0.000
0.000 0.000 8.714
Pa Ga Ni
2 5 5
Direct
0.000 0.000 0.000 Pa
0.000 0.500 0.500 Pa
0.500 0.000 0.500 Ga
0.500 0.250 0.237 Ga
0.500 0.250 0.763 Ga
0.500 0.750 0.237 Ga
0.500 0.750 0.763 Ga
0.000 0.000 0.337 Ni
0.000 0.000 0.663 Ni
0.000 0.500 0.171 Ni
0.000 0.500 0.829 Ni
0.500 0.500 0.000 Ni
```

Values from the calculation:
calculated total energy	-5.75	eV/atom
formation enthalpy at 0 K	-0.497	eV/atom
Fermi-level density of states	7.7	states/eV/cell

[4]
First-principles (PBE) data for a relaxed structure of PaGa4Ni, as listed in Alexandria via LeMat-Bulk.

The structure in POSCAR format:
```
PaGa4Ni
1.0
2.054 -7.823 0.000
2.054 7.823 0.000
0.000 0.000 6.486
Pa Ga Ni
2 8 2
Direct
0.112 0.888 0.750 Pa
0.888 0.112 0.250 Pa
0.074 0.926 0.250 Ga
0.313 0.687 0.549 Ga
0.313 0.687 0.951 Ga
0.500 0.500 0.000 Ga
0.500 0.500 0.500 Ga
0.687 0.313 0.049 Ga
0.687 0.313 0.451 Ga
0.926 0.074 0.750 Ga
0.223 0.777 0.250 Ni
0.777 0.223 0.750 Ni
```

Values from the calculation:
calculated total energy	-4.97	eV/atom
formation enthalpy at 0 K	-0.410	eV/atom
Fermi-level density of states	11.5	states/eV/cell

[5]
First-principles (PBE) data for a relaxed structure of PaGaNi6, as listed in Alexandria via LeMat-Bulk.

The structure in POSCAR format:
```
PaGaNi6
1.0
4.722 0.000 0.000
0.000 4.722 0.000
0.000 0.000 4.722
Pa Ga Ni
1 1 6
Direct
0.000 0.000 0.000 Pa
0.500 0.500 0.500 Ga
0.000 0.255 0.500 Ni
0.000 0.745 0.500 Ni
0.255 0.500 0.000 Ni
0.500 0.000 0.255 Ni
0.500 0.000 0.745 Ni
0.745 0.500 0.000 Ni
```

Values from the calculation:
calculated total energy	-6.13	eV/atom
formation enthalpy at 0 K	-0.230	eV/atom
Fermi-level density of states	2.8	states/eV/cell

[6]
First-principles (PBE) data for a relaxed structure of Pa2Ga5Ni4, as listed in Alexandria via LeMat-Bulk.

The structure in POSCAR format:
```
Pa2Ga5Ni4
1.0
0.000 4.454 7.829
2.565 0.000 7.829
2.565 4.454 0.000
Pa Ga Ni
2 5 4
Direct
0.128 0.128 0.872 Pa
0.872 0.872 0.128 Pa
0.000 0.000 0.500 Ga
0.250 0.250 0.250 Ga
0.500 0.500 0.000 Ga
0.500 0.500 0.500 Ga
0.750 0.750 0.750 Ga
0.215 0.521 0.479 Ni
0.479 0.785 0.215 Ni
0.521 0.215 0.785 Ni
0.785 0.479 0.521 Ni
```

Values from the calculation:
calculated total energy	-5.63	eV/atom
formation enthalpy at 0 K	-0.424	eV/atom
Fermi-level density of states	4.9	states/eV/cell

[7]
First-principles (PBE) data for a relaxed structure of PaGaNi, as listed in Alexandria via LeMat-Bulk.

The structure in POSCAR format:
```
PaGaNi
1.0
3.969 0.000 0.000
0.000 5.476 0.000
0.000 0.000 10.120
Pa Ga Ni
4 4 4
Direct
0.000 0.000 0.202 Pa
0.000 0.000 0.798 Pa
0.500 0.500 0.298 Pa
0.500 0.500 0.702 Pa
0.000 0.247 0.500 Ga
0.000 0.753 0.500 Ga
0.500 0.253 0.000 Ga
0.500 0.747 0.000 Ga
0.000 0.500 0.116 Ni
0.000 0.500 0.884 Ni
0.500 0.000 0.384 Ni
0.500 0.000 0.616 Ni
```

Values from the calculation:
calculated total energy	-6.48	eV/atom
formation enthalpy at 0 K	-0.376	eV/atom
Fermi-level density of states	14.0	states/eV/cell

[8]
First-principles (PBE) data for a relaxed structure of PaGa2Ni7, as listed in Alexandria via LeMat-Bulk.

The structure in POSCAR format:
```
PaGa2Ni7
1.0
3.286 -5.865 0.000
3.286 5.865 0.000
0.000 0.000 4.204
Pa Ga Ni
1 2 7
Direct
0.000 0.000 0.000 Pa
0.298 0.702 0.500 Ga
0.702 0.298 0.500 Ga
0.074 0.293 0.500 Ni
0.205 0.795 0.000 Ni
0.293 0.074 0.500 Ni
0.500 0.500 0.500 Ni
0.707 0.926 0.500 Ni
0.795 0.205 0.000 Ni
0.926 0.707 0.500 Ni
```

Values from the calculation:
calculated total energy	-5.55	eV/atom
formation enthalpy at 0 K	0.049	eV/atom
Fermi-level density of states	6.3	states/eV/cell